1.
First-principles (PBE) data for an optimized crystal structure of Pm5Ni2Sb, as listed in the Alexandria database.

Cell and atoms, written as CIF:
```
data_Pm5Ni2Sb
_cell_length_a 7.917
_cell_length_b 7.917
_cell_length_c 13.452
_cell_angle_alpha 90.00
_cell_angle_beta 90.00
_cell_angle_gamma 90.00
_symmetry_space_group_name_H-M 'I 4/m c m'
_symmetry_Int_Tables_number 140
_symmetry_space_group_name_Hall '-I 4 2c'
loop_
_atom_site_label
_atom_site_fract_x
_atom_site_fract_y
_atom_site_fract_z
Pm1 0.000 0.000 0.000
Pm2 0.157 0.343 0.138
Ni1 0.128 0.372 0.500
Sb1 0.000 0.000 0.250
```

## Properties
ΔE_f (raw)   -0.4708 eV per atom


2.
First-principles (PBE) data for an optimized crystal structure of Dy2Tl5Cd, as listed in the Alexandria database.

Cell and atoms, written as CIF:
```
data_Dy2Tl5Cd
_cell_length_a 6.624
_cell_length_b 13.288
_cell_length_c 4.788
_cell_angle_alpha 90.00
_cell_angle_beta 90.00
_cell_angle_gamma 90.00
_symmetry_space_group_name_H-M 'P b a m'
_symmetry_Int_Tables_number 55
_symmetry_space_group_name_Hall '-P 2 2ab'
loop_
_atom_site_label
_atom_site_fract_x
_atom_site_fract_y
_atom_site_fract_z
Dy1 0.235 0.128 0.000
Tl1 0.000 0.000 0.500
Tl2 0.016 0.746 0.500
Tl3 0.233 0.380 0.000
Cd1 0.000 0.500 0.500
```

## Properties
Calculated formation energy   -237 meV per atom


3.
First-principles (PBE) data for an optimized crystal structure of Cd2AuSe, as listed in the Alexandria database.

Cell and atoms, written as CIF:
```
data_Cd2AuSe
_cell_length_a 13.222
_cell_length_b 3.862
_cell_length_c 3.790
_cell_angle_alpha 90.00
_cell_angle_beta 91.05
_cell_angle_gamma 90.00
_symmetry_space_group_name_H-M 'C 1 m 1'
_symmetry_Int_Tables_number 8
_symmetry_space_group_name_Hall 'C -2y'
loop_
_atom_site_label
_atom_site_fract_x
_atom_site_fract_y
_atom_site_fract_z
Cd1 0.000 0.000 0.000
Cd2 0.231 0.000 0.481
Au1 0.167 0.500 0.977
Se1 0.436 0.000 0.493
```

## Properties
ΔE_f (raw)   -0.1881 eV per atom


> Which formula does entry 1 have?

Pm5Ni2Sb